1.
# CsGa3Sb3 (GGA-PBE, optimized geometry)
# Raw formation energy   -0.209 eV per atom
# Space group   No. 223
# Distance to the lowest polymorph of the same formula   0.0 meV/atom
data_CsGa3Sb3
_chemical_formula_sum 'Cs2 Ga6 Sb6'
_cell_length_a 7.768
_cell_length_b 7.768
_cell_length_c 7.768
_cell_angle_alpha 90.00
_cell_angle_beta 90.00
_cell_angle_gamma 90.00
_symmetry_space_group_name_H-M 'P 1'
_symmetry_Int_Tables_number 1
loop_
_symmetry_equiv_pos_as_xyz
'x,y,z'
loop_
_atom_site_label
_atom_site_type_symbol
_atom_site_fract_x
_atom_site_fract_y
_atom_site_fract_z
_atom_site_occupancy
Sb1 Sb 0.500 0.000 0.250 1
Ga1 Ga 0.500 0.250 0.000 1
Ga2 Ga 0.000 0.500 0.250 1
Sb2 Sb 0.000 0.750 0.500 1
Ga3 Ga 0.500 0.750 0.000 1
Sb3 Sb 0.000 0.250 0.500 1
Ga4 Ga 0.000 0.500 0.750 1
Ga5 Ga 0.250 0.000 0.500 1
Sb4 Sb 0.250 0.500 0.000 1
Sb5 Sb 0.750 0.500 0.000 1
Sb6 Sb 0.500 0.000 0.750 1
Ga6 Ga 0.750 0.000 0.500 1
Cs1 Cs 0.000 0.000 0.000 1
Cs2 Cs 0.500 0.500 0.500 1

---

2.
# Cs2Ga2Sb (GGA-PBE, optimized geometry)
# Raw formation energy   -0.097 eV per atom
# Space group   No. 127
# Distance to the lowest polymorph of the same formula   135.6 meV/atom
data_Cs2Ga2Sb
_chemical_formula_sum 'Cs4 Ga4 Sb2'
_cell_length_a 7.585
_cell_length_b 7.585
_cell_length_c 6.242
_cell_angle_alpha 90.00
_cell_angle_beta 90.00
_cell_angle_gamma 90.00
_symmetry_space_group_name_H-M 'P 1'
_symmetry_Int_Tables_number 1
loop_
_symmetry_equiv_pos_as_xyz
'x,y,z'
loop_
_atom_site_label
_atom_site_type_symbol
_atom_site_fract_x
_atom_site_fract_y
_atom_site_fract_z
_atom_site_occupancy
Cs1 Cs 0.804 0.304 0.500 1
Cs2 Cs 0.196 0.696 0.500 1
Ga1 Ga 0.880 0.620 0.000 1
Sb1 Sb 0.000 0.000 0.000 1
Ga2 Ga 0.620 0.120 0.000 1
Cs3 Cs 0.304 0.196 0.500 1
Ga3 Ga 0.120 0.380 0.000 1
Ga4 Ga 0.380 0.880 0.000 1
Sb2 Sb 0.500 0.500 0.000 1
Cs4 Cs 0.696 0.804 0.500 1

---

3.
# Cs2GaSb2 (GGA-PBE, optimized geometry)
# Raw formation energy   0.220 eV per atom
# Space group   No. 127
# Distance to the lowest polymorph of the same formula   665.1 meV/atom
data_Cs2GaSb2
_chemical_formula_sum 'Cs4 Ga2 Sb4'
_cell_length_a 11.529
_cell_length_b 11.529
_cell_length_c 3.340
_cell_angle_alpha 90.00
_cell_angle_beta 90.00
_cell_angle_gamma 90.00
_symmetry_space_group_name_H-M 'P 1'
_symmetry_Int_Tables_number 1
loop_
_symmetry_equiv_pos_as_xyz
'x,y,z'
loop_
_atom_site_label
_atom_site_type_symbol
_atom_site_fract_x
_atom_site_fract_y
_atom_site_fract_z
_atom_site_occupancy
Ga1 Ga 0.000 0.000 0.000 1
Sb1 Sb 0.179 0.679 0.500 1
Cs1 Cs 0.619 0.119 0.000 1
Cs2 Cs 0.381 0.881 0.000 1
Cs3 Cs 0.119 0.381 0.000 1
Cs4 Cs 0.881 0.619 0.000 1
Sb2 Sb 0.679 0.821 0.500 1
Sb3 Sb 0.821 0.321 0.500 1
Ga2 Ga 0.500 0.500 0.000 1
Sb4 Sb 0.321 0.179 0.500 1

---

4.
# CsGa2Sb2 (GGA-PBE, optimized geometry)
# Raw formation energy   -0.020 eV per atom
# Space group   No. 123
# Distance to the lowest polymorph of the same formula   290.2 meV/atom
data_CsGa2Sb2
_chemical_formula_sum 'Cs1 Ga2 Sb2'
_cell_length_a 4.051
_cell_length_b 4.051
_cell_length_c 9.730
_cell_angle_alpha 90.00
_cell_angle_beta 90.00
_cell_angle_gamma 90.00
_symmetry_space_group_name_H-M 'P 1'
_symmetry_Int_Tables_number 1
loop_
_symmetry_equiv_pos_as_xyz
'x,y,z'
loop_
_atom_site_label
_atom_site_type_symbol
_atom_site_fract_x
_atom_site_fract_y
_atom_site_fract_z
_atom_site_occupancy
Ga1 Ga 0.000 0.500 0.500 1
Ga2 Ga 0.500 0.000 0.500 1
Cs1 Cs 0.000 0.000 0.000 1
Sb1 Sb 0.500 0.500 0.286 1
Sb2 Sb 0.500 0.500 0.714 1

---

Result set for total DFT energy (no corrections): -0.1248, -0.0909, -0.0873, -0.1121 hartree per atom, one per record in the order listed.